Density functional theory data (PBE) for an optimized crystal structure of YCrSeN2.

Results
Magnetization: 2.870 μB/cell
ΔE_f (raw): 1.3468 eV per atom
Polymorph energy (0 for the lowest one): 1675.3 meV/atom
Calculated total energy: -5.898 eV/atom

Cell: 4.322 4.322 5.626 Å, 90.00 90.00 90.00°
Fractional positions:
Y: 0.000 0.000 0.000
Cr: 0.500 0.500 0.500
Se: 0.000 0.000 0.500
N: 0.000 0.500 0.000
N: 0.500 0.000 0.000

---

Density functional theory data (PBE) for an optimized crystal structure of PaBeB2.

Results
Magnetization: 0.000 μB/cell
Polymorph energy (0 for the lowest one): 0.0 meV/atom
Formation energy from the elements: -0.250 eV/atom
Calculated total energy: -6.894 eV/atom

Cell: 5.165 5.165 5.165 Å, 36.59 36.59 36.59°
Fractional positions:
Pa: 0.000 0.000 0.000
Be: 0.500 0.500 0.500
B: 0.192 0.192 0.192
B: 0.808 0.808 0.808

---

Density functional theory data (PBE) for an optimized crystal structure of As2PIr.

Results
Magnetization: 0.000 μB/cell
Formation energy from the elements: 0.360 eV/atom
Calculated total energy: -5.533 eV/atom

Cell: 2.903 2.903 8.227 Å, 90.00 90.00 90.00°
Fractional positions:
As: 0.000 0.000 0.210
As: 0.000 0.000 0.790
P: 0.500 0.500 0.500
Ir: 0.500 0.500 0.000

---

Density functional theory data (PBE) for an optimized crystal structure of YHoS.

Results
Magnetization: 0.035 μB/cell
ΔE_f (raw): -1.2946 eV per atom
Polymorph energy (0 for the lowest one): 0.0 meV/atom
Calculated total energy: -6.351 eV/atom

Cell: 3.781 3.781 6.259 Å, 90.00 90.00 120.00°
Fractional positions:
Y: 0.000 0.000 0.000
Ho: 0.667 0.333 0.471
S: 0.333 0.667 0.734

---

Density functional theory data (PBE) for an optimized crystal structure of Cs2TbNp3O12.

Results
Magnetization: 2.000 μB/cell
ΔE_f (raw): -2.7689 eV per atom
Calculated total energy: -8.583 eV/atom

Cell: 7.828 7.828 7.828 Å, 61.49 61.49 61.49°
Fractional positions:
Cs: 0.121 0.121 0.121
Cs: 0.879 0.879 0.879
Tb: 0.500 0.500 0.500
Np: 0.000 0.500 0.500
Np: 0.500 0.000 0.500
Np: 0.500 0.500 0.000
O: 0.159 0.571 0.571
O: 0.190 0.190 0.570
O: 0.190 0.570 0.190
O: 0.429 0.429 0.841
O: 0.429 0.841 0.429
O: 0.430 0.810 0.810
O: 0.570 0.190 0.190
O: 0.571 0.159 0.571
O: 0.571 0.571 0.159
O: 0.810 0.430 0.810
O: 0.810 0.810 0.430
O: 0.841 0.429 0.429

---

Density functional theory data (PBE) for an optimized crystal structure of RbTlH3.

Results
Magnetization: 0.000 μB/cell
Polymorph energy (0 for the lowest one): 103.3 meV/atom
Calculated total energy: -2.554 eV/atom

Cell: 4.365 4.365 4.365 Å, 90.00 90.00 90.00°
Fractional positions:
Rb: 0.000 0.000 0.000
Tl: 0.500 0.500 0.500
H: 0.000 0.500 0.500
H: 0.500 0.000 0.500
H: 0.500 0.500 0.000

---

Density functional theory data (PBE) for an optimized crystal structure of Cu2BrCl.

Results
Magnetization: 0.000 μB/cell
ΔE_f (raw): -0.0768 eV per atom
Polymorph energy (0 for the lowest one): 228.0 meV/atom
Calculated total energy: -3.005 eV/atom

Cell: 4.981 4.981 4.159 Å, 108.35 108.35 89.71°
Fractional positions:
Cu: 0.000 0.500 0.000
Cu: 0.500 0.000 0.000
Br: 0.000 0.000 0.000
Cl: 0.500 0.500 0.000

---

Density functional theory data (PBE) for an optimized crystal structure of SrIn2Ru.

Results
Magnetization: 0.000 μB/cell
Formation energy from the elements: -0.078 eV/atom
Calculated total energy: -4.187 eV/atom

Cell: 6.380 6.380 6.380 Å, 42.76 42.76 42.76°
Fractional positions:
Sr: 0.000 0.000 0.000
In: 0.204 0.204 0.204
In: 0.455 0.455 0.455
Ru: 0.817 0.817 0.817

---

| no. | Fermi-level density of states (states/eV per cell) |
| --- | --- |
| 1 | 9.67 |
| 2 | 2.09 |
| 3 | 1.87 |
| 4 | 2.47 |
| 5 | 11.22 |
| 6 | 0.60 |
| 7 | 0.66 |
| 8 | 3.30 |